Entry from Alexandria: a relaxed structure of Nd2YCo6 (PBE).

Summary:
Raw total energy = -6.619 eV per atom
Total magnetic moment = 4.510 μB per cell
Energy of formation = -90 kJ/mol of formula units

Unit cell a=6.7249 b=6.7249 c=4.1712 alpha=90.00 beta=90.00 gamma=120.00
Space group P6/mmm (No. 191)
One atom of each set of equivalent atoms:
Nd 0.3333 0.6667 0.0000 [2 per cell]
Y 0.0000 0.0000 0.0000 [1 per cell]
Co 0.0000 0.3316 0.5000 [6 per cell]